Entry 1:
VASP calculation (PBE-GGA) on a relaxed K2La2Sb2S9 crystal.

a = 4.1408 Å, b = 11.2232 Å, c = 17.2560 Å
α = 90.00°, β = 90.00°, γ = 90.00°
Fractional positions:
1 S 0.0000 0.0102 0.3730
2 S 0.5000 0.0000 0.0000
3 S 0.0000 0.6555 0.6699
4 S 0.5000 0.5000 0.5000
5 S 0.0000 0.8445 0.1699
6 S 0.0000 0.3445 0.3301
7 S 0.0000 0.1555 0.8301
8 S 0.5000 0.3894 0.7087
9 S 0.0000 0.3299 0.0919
10 S 0.0000 0.6701 0.9081
11 S 0.5000 0.6106 0.2913
12 S 0.0000 0.9898 0.6270
13 S 0.0000 0.1701 0.5919
14 S 0.5000 0.1106 0.2087
15 S 0.5000 0.8894 0.7913
16 S 0.0000 0.8299 0.4081
17 S 0.0000 0.4898 0.8730
18 S 0.0000 0.5102 0.1270
19 K 0.5000 0.7129 0.0534
20 K 0.5000 0.7871 0.5534
21 K 0.5000 0.2871 0.9466
22 K 0.5000 0.2129 0.4466
23 La 0.5000 0.8804 0.2915
24 La 0.5000 0.1196 0.7085
25 La 0.5000 0.3804 0.2085
26 La 0.5000 0.6196 0.7915
27 Sb 0.0000 0.4511 0.6147
28 Sb 0.0000 0.5489 0.3853
29 Sb 0.0000 0.0489 0.1147
30 Sb 0.0000 0.9511 0.8853

Summary:
- SG: Pbam
- Calculated volume: 26.73 A^3/atom


Entry 2:
VASP calculation (PBE-GGA) on a relaxed K3La3ScS8 crystal.

a = 8.3859 Å, b = 8.3880 Å, c = 8.8661 Å
α = 118.27°, β = 90.00°, γ = 119.99°
Fractional positions:
1 S 0.7573 0.9746 0.6916
2 S 0.2173 0.9746 0.6916
3 S 0.7827 0.5654 0.3083
4 S 0.2173 0.4346 0.6917
5 S 0.2631 0.5263 0.2896
6 S 0.7369 0.4737 0.7104
7 S 0.2427 0.0254 0.3084
8 S 0.7827 0.0254 0.3084
9 La 0.0000 0.5000 0.5000
10 La 0.5000 0.5000 0.5000
11 La 0.5000 0.0000 0.5000
12 K 0.0000 0.0000 0.0000
13 K 0.5000 0.5000 0.0000
14 K 0.0000 0.5000 0.0000
15 Sc 0.0000 0.0000 0.5000

Summary:
- SG: R-3m
- Fermi-level density of states: 17.7 states/eV/cell
- Calculated volume: 30.15 A^3/atom


Entry 3:
VASP calculation (PBE-GGA) on a relaxed KLaSc4S8 crystal.

a = 7.7797 Å, b = 7.7797 Å, c = 8.1573 Å
α = 61.52°, β = 61.52°, γ = 60.00°
Fractional positions:
1 S 0.2494 0.7978 0.7034
2 S 0.7455 0.7455 0.2698
3 S 0.7978 0.2494 0.7034
4 S 0.7564 0.7564 0.7309
5 S 0.2494 0.2494 0.7034
6 S 0.2392 0.7455 0.2698
7 S 0.7455 0.2392 0.2698
8 S 0.2283 0.2283 0.3152
9 K 0.3644 0.3644 0.9069
10 Sc 0.0048 0.0048 0.5061
11 Sc 0.4843 0.0048 0.5061
12 Sc 0.0048 0.4843 0.5061
13 Sc 0.6263 0.6263 0.1210
14 La 0.0039 0.0039 0.9882

Summary:
- SG: R3m
- Fermi-level density of states: 0.0 states/eV/cell
- Calculated volume: 25.49 A^3/atom


Entry 4:
VASP calculation (PBE-GGA) on a relaxed KLaSeS crystal.

a = 4.3674 Å, b = 4.3674 Å, c = 7.9452 Å
α = 74.05°, β = 74.05°, γ = 60.00°
Fractional positions:
1 La 0.0037 0.0037 0.9890
2 K 0.4984 0.4984 0.5049
3 S 0.7355 0.7355 0.7935
4 Se 0.2625 0.2625 0.2126

Summary:
- SG: R3m
- Fermi-level density of states: 0.0 states/eV/cell
- Calculated volume: 31.12 A^3/atom


Entry 5:
VASP calculation (PBE-GGA) on a relaxed K3LaSm2S6 crystal.

a = 7.2628 Å, b = 7.2628 Å, c = 7.7717 Å
α = 98.96°, β = 98.96°, γ = 120.00°
Fractional positions:
1 K 0.1665 0.8335 0.5000
2 K 0.5000 0.5000 0.5000
3 K 0.8335 0.1665 0.5000
4 S 0.5913 0.9313 0.7939
5 S 0.4087 0.0687 0.2061
6 S 0.0687 0.4087 0.2061
7 S 0.2712 0.2712 0.7937
8 S 0.9313 0.5913 0.7939
9 S 0.7288 0.7288 0.2063
10 Sm 0.6667 0.3333 0.0000
11 Sm 0.3333 0.6667 0.0000
12 La 0.0000 0.0000 0.0000

Summary:
- SG: C2/m
- Fermi-level density of states: 0.0 states/eV/cell
- Calculated volume: 28.11 A^3/atom


Entry 6:
VASP calculation (PBE-GGA) on a relaxed KLa2SmS4 crystal.

a = 4.1499 Å, b = 7.1891 Å, c = 7.3062 Å
α = 70.87°, β = 90.00°, γ = 90.00°
Fractional positions:
1 K 0.5000 0.5000 0.0000
2 La 0.0000 0.0000 0.0000
3 La 0.5000 0.0000 0.5000
4 S 0.0000 0.2404 0.2668
5 S 0.5000 0.2528 0.7393
6 S 0.0000 0.7596 0.7332
7 S 0.5000 0.7472 0.2607
8 Sm 0.0000 0.5000 0.5000

Summary:
- SG: P2/m
- Fermi-level density of states: 2.9 states/eV/cell
- Calculated volume: 25.74 A^3/atom


Entry 7:
VASP calculation (PBE-GGA) on a relaxed K2La2SnS6 crystal.

a = 7.1237 Å, b = 7.1237 Å, c = 7.9115 Å
α = 98.59°, β = 98.59°, γ = 119.20°
Fractional positions:
1 La 0.3331 0.6669 0.5000
2 La 0.6669 0.3331 0.5000
3 Sn 0.0000 0.0000 0.5000
4 S 0.0633 0.3742 0.6977
5 S 0.3742 0.0633 0.6977
6 S 0.7690 0.7690 0.6951
7 S 0.2310 0.2310 0.3049
8 S 0.6258 0.9367 0.3023
9 S 0.9367 0.6258 0.3023
10 K 0.8317 0.1683 0.0000
11 K 0.1683 0.8317 0.0000

Summary:
- SG: C2/m
- Calculated volume: 30.44 A^3/atom


Entry 8:
VASP calculation (PBE-GGA) on a relaxed K4La3SnS8 crystal.

a = 8.4727 Å, b = 8.8540 Å, c = 8.4730 Å
α = 118.60°, β = 120.00°, γ = 90.00°
Fractional positions:
1 K 0.5000 0.0000 0.5000
2 K 0.5000 0.0000 0.0000
3 K 0.0000 0.0000 0.5000
4 K 0.0000 0.0000 0.0000
5 S 0.2550 0.2947 0.0248
6 S 0.7365 0.7095 0.4730
7 S 0.7698 0.2946 0.5395
8 S 0.2302 0.7053 0.9752
9 S 0.2635 0.2905 0.5270
10 S 0.7450 0.7053 0.9752
11 S 0.7698 0.2947 0.0248
12 S 0.2302 0.7054 0.4605
13 La 0.0000 0.5000 0.5000
14 La 0.5000 0.5000 0.5000
15 La 0.5000 0.5000 0.0000
16 Sn 0.0000 0.5000 0.0000

Summary:
- SG: R-3m
- Fermi-level density of states: 1.9 states/eV/cell
- Calculated volume: 28.67 A^3/atom


Entry 9:
VASP calculation (PBE-GGA) on a relaxed KLaTb4S8 crystal.

a = 8.2432 Å, b = 8.2432 Å, c = 8.4091 Å
α = 60.65°, β = 60.65°, γ = 60.00°
Fractional positions:
1 K 0.3715 0.3715 0.8854
2 Tb 0.0045 0.4871 0.5040
3 Tb 0.4871 0.0045 0.5040
4 Tb 0.0045 0.0045 0.5040
5 Tb 0.6259 0.6259 0.1224
6 S 0.2327 0.2327 0.3020
7 S 0.2399 0.2399 0.7218
8 S 0.7571 0.7571 0.7286
9 S 0.2399 0.7983 0.7218
10 S 0.7983 0.2399 0.7218
11 S 0.7516 0.7516 0.2652
12 S 0.7516 0.2316 0.2652
13 S 0.2316 0.7516 0.2652
14 La 0.0037 0.0037 0.9888

Summary:
- SG: R3m
- Fermi-level density of states: 0.0 states/eV/cell
- Calculated volume: 29.14 A^3/atom


Entry 10:
VASP calculation (PBE-GGA) on a relaxed K3LaTb2S6 crystal.

a = 7.1793 Å, b = 7.1793 Å, c = 7.7567 Å
α = 98.88°, β = 98.88°, γ = 120.00°
Fractional positions:
1 S 0.2760 0.2760 0.7957
2 S 0.5878 0.9319 0.7959
3 S 0.9319 0.5878 0.7959
4 S 0.4122 0.0681 0.2041
5 S 0.0681 0.4122 0.2041
6 S 0.7240 0.7240 0.2043
7 Tb 0.6668 0.3332 0.0000
8 Tb 0.3332 0.6668 0.0000
9 La 0.0000 0.0000 0.0000
10 K 0.5000 0.5000 0.5000
11 K 0.1659 0.8341 0.5000
12 K 0.8341 0.1659 0.5000

Summary:
- SG: C2/m
- Fermi-level density of states: 0.0 states/eV/cell
- Calculated volume: 27.44 A^3/atom


Entry 11:
VASP calculation (PBE-GGA) on a relaxed KLa2TbS4 crystal.

a = 4.1231 Å, b = 7.1492 Å, c = 7.2719 Å
α = 70.95°, β = 90.00°, γ = 90.00°
Fractional positions:
1 S 0.0000 0.2447 0.2688
2 S 0.0000 0.7553 0.7312
3 S 0.5000 0.2587 0.7344
4 S 0.5000 0.7413 0.2656
5 K 0.5000 0.5000 0.0000
6 Tb 0.0000 0.5000 0.5000
7 La 0.5000 0.0000 0.5000
8 La 0.0000 0.0000 0.0000

Summary:
- SG: P2/m
- Fermi-level density of states: 3.0 states/eV/cell
- Calculated volume: 25.33 A^3/atom


Entry 12:
VASP calculation (PBE-GGA) on a relaxed K2LaTeS4 crystal.

a = 8.4416 Å, b = 8.4416 Å, c = 8.5591 Å
α = 117.74°, β = 117.74°, γ = 89.59°
Fractional positions:
1 S 0.7965 0.7765 0.0138
2 S 0.8014 0.2594 0.0445
3 S 0.2035 0.2235 0.9862
4 S 0.7235 0.7035 0.4862
5 S 0.2406 0.6986 0.4555
6 S 0.2765 0.2965 0.5138
7 S 0.7594 0.3014 0.5445
8 S 0.1986 0.7406 0.9555
9 K 0.5000 0.0000 0.0000
10 K 0.5000 0.5000 0.0000
11 K 0.0000 0.0000 0.5000
12 K 0.5000 0.0000 0.5000
13 Te 0.5000 0.5000 0.5000
14 Te 0.0000 0.0000 0.0000
15 La 0.0000 0.5000 0.0000
16 La 0.0000 0.5000 0.5000

Summary:
- SG: C2/c
- Fermi-level density of states: 3.1 states/eV/cell
- Calculated volume: 28.78 A^3/atom


no.,ΔE_f (raw) (eV/atom)
1,-1.147
2,-1.764
3,-1.783
4,-1.874
5,-1.884
6,-1.948
7,-1.447
8,-1.610
9,-1.949
10,-1.895
11,-1.935
12,-1.143